# 1
# NaNbSbO5, optimized geometry, DFT PBE-GGA
# - total moment (μB/atom) = 0.000
# - uncorrected energy (eV/atom) = -6.908
# - calculated density (Mg/m³) = 4.2
# - crystal system = monoclinic
# - formation energy (no corrections) (eV per atom) = -1.87
data_NaNbSbO5
_chemical_formula_sum 'Na4 Nb4 Sb4 O20'
_symmetry_space_group_name_H-M 'C 1 2/c 1'
_symmetry_Int_Tables_number 15
_symmetry_space_group_name_Hall '-C 2yc'
_cell_length_a 7.831
_cell_length_b 9.223
_cell_length_c 7.892
_cell_angle_alpha 90.00
_cell_angle_beta 119.08
_cell_angle_gamma 90.00
loop_
_atom_site_label
_atom_site_type_symbol
_atom_site_fract_x
_atom_site_fract_y
_atom_site_fract_z
Na1 Na 0.000 0.194 0.250
Nb1 Nb 0.000 0.500 0.000
Sb1 Sb 0.000 0.169 0.750
O1 O 0.000 0.471 0.250
O2 O 0.029 0.281 0.545
O3 O 0.205 0.019 0.863

# 2
# KSiW4, optimized geometry, DFT PBE-GGA
# - total moment (μB/atom) = 0.000
# - uncorrected energy (eV/atom) = -8.427
# - calculated density (Mg/m³) = 11.8
# - crystal system = cubic
# - formation energy (no corrections) (eV per atom) = 1.30
data_KSiW4
_chemical_formula_sum 'K4 Si4 W16'
_symmetry_space_group_name_H-M 'F -4 3 m'
_symmetry_Int_Tables_number 216
_symmetry_space_group_name_Hall 'F -4 2 3'
_cell_length_a 7.680
_cell_length_b 7.680
_cell_length_c 7.680
_cell_angle_alpha 90.00
_cell_angle_beta 90.00
_cell_angle_gamma 90.00
loop_
_atom_site_label
_atom_site_type_symbol
_atom_site_fract_x
_atom_site_fract_y
_atom_site_fract_z
K1 K 0.000 0.000 0.000
Si1 Si 0.250 0.250 0.750
W1 W 0.126 0.126 0.374